Record 1
Density functional theory data (GGA-PBE) for a geometry-optimized TaRuRh structure.

Cell: 5.310 5.310 5.310 Å, 145.55 145.55 49.52°
Atoms (fractional coordinates):
Rh (0.013, 0.013, 0.000)
Ru (0.317, 0.317, 0.000)
Ta (0.669, 0.669, 0.000)

Results
ΔH_f (0 K) = -0.6 eV/f.u.
Symmetry = I4mm
Density of states at the Fermi level = 1.060 states/eV per atom


Record 2
Density functional theory data (GGA-PBE) for a geometry-optimized Ta3Ru2Rh structure.

Cell: 3.016 3.016 10.627 Å, 90.00 90.00 90.00°
Atoms (fractional coordinates):
Ta (0.000, 0.000, 0.000)
Ta (0.000, 0.000, 0.674)
Ta (0.000, 0.000, 0.326)
Ru (0.500, 0.500, 0.846)
Ru (0.500, 0.500, 0.154)
Rh (0.500, 0.500, 0.500)

Results
ΔH_f (0 K) = -2.1 eV/f.u.
Symmetry = P4/mmm
Density of states at the Fermi level = 0.836 states/eV per atom


Record 3
Density functional theory data (GGA-PBE) for a geometry-optimized TaRuRh structure.

Cell: 4.260 4.260 4.260 Å, 60.00 60.00 60.00°
Atoms (fractional coordinates):
Rh (0.500, 0.500, 0.500)
Ru (0.250, 0.250, 0.250)
Ta (0.000, 0.000, 0.000)

Results
ΔH_f (0 K) = 1.1 eV/f.u.
Symmetry = F-43m
Density of states at the Fermi level = 1.730 states/eV per atom